No. 1
Material: TlFe2Mo
Method: DFT, PBE-GGA
State: relaxed

Output
The total moment comes out at 4.5 Bohr magnetons per cell. The formation energy is 0.537 eV/atom.

Cell and atoms, written as POSCAR:
```
TlFe2Mo
1.0
4.862 -1.522 0.000
4.862 1.522 0.000
-1.748 0.000 4.145
Tl Fe Mo
1 2 1
Direct
0.000 0.000 0.000
0.471 0.471 0.475
0.759 0.759 0.242
0.222 0.222 0.695
```



No. 2
Material: TlFe2Mo
Method: DFT, PBE-GGA
State: relaxed

Output
The total moment comes out at 4.2 Bohr magnetons per cell. The formation energy is 0.423 eV/atom.

Cell and atoms, written as POSCAR:
```
TlFe2Mo
1.0
3.134 0.000 0.000
0.000 3.134 0.000
0.000 0.000 6.366
Tl Fe Mo
1 2 1
Direct
0.000 0.000 0.000
0.000 0.000 0.469
0.500 0.500 0.286
0.500 0.500 0.676
```



No. 3
Material: TlFe2Mo
Method: DFT, PBE-GGA
State: relaxed

Output
The total moment comes out at 3.7 Bohr magnetons per cell. The formation energy is 0.619 eV/atom.

Cell and atoms, written as POSCAR:
```
TlFe2Mo
1.0
1.478 0.853 8.437
-1.478 0.853 8.437
0.000 -1.707 8.437
Tl Fe Mo
1 2 1
Direct
0.000 0.000 0.000
0.242 0.242 0.242
0.758 0.758 0.758
0.500 0.500 0.500
```



No. 4
Material: TlFe2Mo
Method: DFT, PBE-GGA
State: relaxed

Output
The total moment comes out at 4.1 Bohr magnetons per cell. The formation energy is 0.427 eV/atom.

Cell and atoms, written as POSCAR:
```
TlFe2Mo
1.0
3.160 0.000 0.000
0.000 3.271 0.000
0.000 0.000 6.029
Tl Fe Mo
1 2 1
Direct
0.000 0.000 0.000
0.500 0.500 0.292
0.500 0.500 0.708
0.000 0.000 0.500
```